Entry 1:
A plane-wave DFT calculation with PBE was carried out for a geometry-optimized Gd2AlTl structure.

```
4
Lattice="3.4209 0.0000 0.0000 0.0000 3.4209 0.0000 0.0000 0.0000 8.8670" Properties=species:S:1:pos:R:3 pbc="T T T"
Gd 0.0000 0.0000 2.0612
Gd 0.0000 0.0000 6.8058
Al 1.7104 1.7104 0.0000
Tl 1.7104 1.7104 4.4335
```

The formation energy comes out at -0.377 eV/atom. As for the crystal system: tetragonal. The calculation puts the polymorph energy (0 for the lowest one) at 0.0 kJ per mole of atoms.

***

Entry 2:
A plane-wave DFT calculation with PBE was carried out for a geometry-optimized YAlAu structure.

```
12
Lattice="6.6133 0.0000 0.0000 0.0000 6.6133 0.0000 0.0000 0.0000 6.6133" Properties=species:S:1:pos:R:3 pbc="T T T"
Y 0.0000 0.0000 0.0000
Y 0.0000 3.3066 3.3066
Y 3.3066 0.0000 3.3066
Y 3.3066 3.3066 0.0000
Al 0.0000 0.0000 3.3066
Al 0.0000 3.3066 0.0000
Al 3.3066 0.0000 0.0000
Al 3.3066 3.3066 3.3066
Au 1.6533 1.6533 4.9599
Au 1.6533 4.9599 1.6533
Au 4.9599 1.6533 1.6533
Au 4.9599 4.9599 4.9599
```

The formation energy comes out at -0.593 eV/atom. As for the crystal system: cubic.

***

Entry 3:
A plane-wave DFT calculation with PBE was carried out for a geometry-optimized Ca2HoSn9 structure.

```
12
Lattice="4.7443 0.0000 0.0000 0.0000 4.7443 0.0000 0.0000 0.0000 14.2056" Properties=species:S:1:pos:R:3 pbc="T T T"
Ca 0.0000 0.0000 2.3965
Ca 0.0000 0.0000 11.8091
Ho 0.0000 0.0000 7.1028
Sn 0.0000 2.3722 0.0000
Sn 0.0000 2.3722 4.7709
Sn 0.0000 2.3722 9.4347
Sn 2.3722 0.0000 0.0000
Sn 2.3722 0.0000 4.7709
Sn 2.3722 0.0000 9.4347
Sn 2.3722 2.3722 2.3836
Sn 2.3722 2.3722 7.1028
Sn 2.3722 2.3722 11.8220
```

The formation energy comes out at -0.399 eV/atom. As for the crystal system: tetragonal.

***

Entry 4:
A plane-wave DFT calculation with PBE was carried out for a geometry-optimized RbBa2SrHg structure.

```
5
Lattice="6.7297 0.0000 0.0000 0.0000 6.7297 0.0000 0.0000 0.0000 6.8759" Properties=species:S:1:pos:R:3 pbc="T T T"
Rb 0.0000 0.0000 0.0000
Ba 0.0000 3.3648 3.4380
Ba 3.3648 0.0000 3.4380
Sr 3.3648 3.3648 0.0000
Hg 0.0000 0.0000 3.4380
```

The formation energy comes out at -0.037 eV/atom. As for the crystal system: tetragonal. The calculation puts the polymorph energy (0 for the lowest one) at 9.6 kJ per mole of atoms.

***

Entry 5:
A plane-wave DFT calculation with PBE was carried out for a geometry-optimized Dy2P7Ir12 structure.

```
21
Lattice="9.6088 0.0000 0.0000 -4.8044 8.3215 0.0000 0.0000 0.0000 3.9579" Properties=species:S:1:pos:R:3 pbc="T T T"
Dy 0.0000 5.5477 0.9958
Dy 4.8044 2.7738 2.9621
P 0.0000 0.0000 0.0000
P -0.7576 3.3960 2.9511
P -1.4846 7.2796 2.9511
P 2.5622 2.3541 1.0068
P 2.2422 5.9674 2.9511
P 6.2890 1.0419 1.0068
P 5.5620 4.9255 1.0068
Ir -2.2801 5.1223 2.9797
Ir -3.0316 7.0130 1.0274
Ir 0.2468 2.1895 1.0274
Ir 2.0196 0.8810 2.9305
Ir 1.5084 3.7857 2.9797
Ir 4.0327 0.5865 0.9782
Ir 0.7717 7.7349 2.9797
Ir 3.2960 4.5358 0.9782
Ir 2.7848 7.4405 1.0274
Ir 4.5576 6.1319 2.9305
Ir 7.8360 1.3085 2.9305
Ir 7.0845 3.1991 0.9782
```

The formation energy comes out at -0.663 eV/atom. As for the crystal system: trigonal.

***

Entry 6:
A plane-wave DFT calculation with PBE was carried out for a geometry-optimized LiSb2P structure.

```
8
Lattice="11.8184 0.0000 0.0000 0.0000 3.5593 0.0000 -1.5345 0.0000 4.6968" Properties=species:S:1:pos:R:3 pbc="T T T"
Li 0.0000 0.0000 0.0000
Li 5.9092 1.7797 0.0000
Sb 1.2955 1.7797 4.3504
Sb 4.7471 0.0000 2.2000
Sb 7.2047 0.0000 4.3504
Sb 10.6563 1.7797 2.2000
P 2.2365 0.0000 1.3819
P 8.1457 1.7797 1.3819
```

As for the crystal system: monoclinic.

***

Entry 7:
A plane-wave DFT calculation with PBE was carried out for a geometry-optimized KReTc structure.

```
12
Lattice="6.2734 0.0000 0.0000 0.0000 6.2734 0.0000 0.0000 0.0000 6.2734" Properties=species:S:1:pos:R:3 pbc="T T T"
K 0.0000 0.0000 0.0000
K 0.0000 3.1367 3.1367
K 3.1367 0.0000 3.1367
K 3.1367 3.1367 0.0000
Re 0.0000 0.0000 3.1367
Re 0.0000 3.1367 0.0000
Re 3.1367 0.0000 0.0000
Re 3.1367 3.1367 3.1367
Tc 1.5683 1.5683 4.7050
Tc 1.5683 4.7050 1.5683
Tc 4.7050 1.5683 1.5683
Tc 4.7050 4.7050 4.7050
```

The formation energy comes out at 1.890 eV/atom. As for the crystal system: cubic. The calculation puts the polymorph energy (0 for the lowest one) at 99.6 kJ per mole of atoms.

***

Entry 8:
A plane-wave DFT calculation with PBE was carried out for a geometry-optimized SrTa2Pb structure.

```
8
Lattice="9.3340 0.0000 0.0000 0.0000 3.1280 0.0000 -0.7583 0.0000 7.1874" Properties=species:S:1:pos:R:3 pbc="T T T"
Sr 0.0000 0.0000 0.0000
Sr 4.6670 1.5640 0.0000
Ta 1.5974 0.0000 4.9081
Ta 4.1816 0.0000 3.9017
Ta 6.2644 1.5640 4.9081
Ta 8.8486 1.5640 3.9017
Pb 2.0958 1.5640 2.2538
Pb 6.7628 0.0000 2.2538
```

The formation energy comes out at 0.557 eV/atom. As for the crystal system: monoclinic.

***

Number 1: energy -8.944 eV/atom. Number 2: energy -5.088 eV/atom. Number 3: energy -4.116 eV/atom. Number 4: energy -1.396 eV/atom. Number 5: energy -7.968 eV/atom. Number 6: energy -3.938 eV/atom. Number 7: energy -6.080 eV/atom. Number 8: energy -6.717 eV/atom.